Be3HS: relaxed, PBE-GGA.

Cell lengths 4.0107, 4.0107, 4.0107 Å; angles 90.00, 90.00, 90.00 degrees
Closest atoms and distances in Å follow each position.
Positions (direct):
Be1 0.5000 0.0000 0.0000  2 S 2.01
Be2 0.0000 0.0000 0.5000  2 S 2.01
S1 0.0000 0.0000 0.0000  6 Be 2.01
Be3 0.0000 0.5000 0.0000  2 S 2.01
H1 0.5000 0.5000 0.5000  12 Be 2.84

total moment = 0.0000 μB/atom
electronic total energy = -12.66 eV per cell
DOS at the Fermi energy = 2.31 states/eV/f.u.
space-group type = No. 221